# Sm6HoSn4 | Alexandria via LeMat-Bulk | PBE-GGA | relaxed
# Formation energy from the elements = -0.34 eV per atom
# Electronic total energy = -105.40 eV for the cell shown
# Total moment = 0.000 μB/atom
data_Sm6HoSn4
_cell_length_a 7.9457
_cell_length_b 7.9457
_cell_length_c 11.9897
_cell_angle_alpha 90.00
_cell_angle_beta 90.00
_cell_angle_gamma 90.00
_symmetry_space_group_name_H-M 'I -4 2 m'
_symmetry_Int_Tables_number 121
_symmetry_space_group_name_Hall 'I -4 2'
loop_
_atom_site_label
_atom_site_fract_x
_atom_site_fract_y
_atom_site_fract_z
_atom_site_occupancy
Sm1 0.0000 0.5000 0.0000 1
Sm2 0.1608 0.1608 0.3342 1
Ho1 0.0000 0.0000 0.0000 1
Sn1 0.2286 0.2286 0.5983 1